1.
Density functional theory data (PBE) for an optimized crystal structure of Ba2Sn2HgAu.

## Properties
E_tot: -3.20 eV per atom

Cell: 4.8736 4.8736 9.8745 Å, 90.00 90.00 120.00°
Fractional coordinates of all 6 atoms:
1 Ba 0.0000 0.0000 0.2412
2 Ba 0.0000 0.0000 0.7588
3 Sn 0.3333 0.6667 0.0000
4 Sn 0.6667 0.3333 0.5000
5 Hg 0.3333 0.6667 0.5000
6 Au 0.6667 0.3333 0.0000


2.
Density functional theory data (PBE) for an optimized crystal structure of KTlOs.

## Properties
E_tot: -2.88 eV per atom
Size of the total moment: 2.3 μB/f.u.

Cell: 5.2314 5.2314 5.2314 Å, 60.00 60.00 60.00°
Fractional coordinates of all 3 atoms:
1 K 0.0000 0.0000 0.0000
2 Tl 0.2500 0.2500 0.2500
3 Os 0.7500 0.7500 0.7500


3.
Density functional theory data (PBE) for an optimized crystal structure of ErCu2S4.

## Properties
E_tot: -4.83 eV per atom
Size of the total moment: 0.2 μB/f.u.

Cell: 7.4010 7.4010 6.7703 Å, 116.86 116.86 99.77°
Fractional coordinates of all 14 atoms:
1 Er 0.1252 0.8748 0.7500
2 Er 0.8748 0.1252 0.2500
3 Cu 0.0000 0.5000 0.0000
4 Cu 0.5000 0.0000 0.5000
5 Cu 0.5000 0.5000 0.0000
6 Cu 0.5000 0.5000 0.5000
7 S 0.1364 0.2778 0.8028
8 S 0.1694 0.5289 0.3899
9 S 0.2778 0.1364 0.3028
10 S 0.4711 0.8306 0.1101
11 S 0.5289 0.1694 0.8899
12 S 0.7222 0.8636 0.6972
13 S 0.8306 0.4711 0.6101
14 S 0.8636 0.7222 0.1972


4.
Density functional theory data (PBE) for an optimized crystal structure of YIn2Co.

## Properties
E_tot: -4.98 eV per atom
Size of the total moment: 0.0 μB/f.u.

Cell: 10.0156 10.0156 4.0805 Å, 90.00 90.00 154.36°
Fractional coordinates of all 8 atoms:
1 Y 0.1361 0.8639 0.0000
2 Y 0.8639 0.1361 0.0000
3 In 0.0000 0.0000 0.5000
4 In 0.2943 0.7057 0.5000
5 In 0.5000 0.5000 0.0000
6 In 0.7057 0.2943 0.5000
7 Co 0.4230 0.5770 0.5000
8 Co 0.5770 0.4230 0.5000


5.
Density functional theory data (PBE) for an optimized crystal structure of BeInCoSi.

## Properties
E_tot: -4.36 eV per atom
Size of the total moment: 0.0 μB/f.u.

Cell: 4.2301 4.2301 4.2301 Å, 60.00 60.00 60.00°
Fractional coordinates of all 4 atoms:
1 Be 0.0000 0.0000 0.0000
2 In 0.7500 0.7500 0.7500
3 Co 0.5000 0.5000 0.5000
4 Si 0.2500 0.2500 0.2500


6.
Density functional theory data (PBE) for an optimized crystal structure of DyPaGe.

## Properties
E_tot: -5.52 eV per atom
Size of the total moment: 3.3 μB/f.u.

Cell: 5.0474 5.0474 5.0474 Å, 60.00 60.00 60.00°
Fractional coordinates of all 3 atoms:
1 Dy 0.0000 0.0000 0.0000
2 Pa 0.2500 0.2500 0.2500
3 Ge 0.5000 0.5000 0.5000


7.
Density functional theory data (PBE) for an optimized crystal structure of ThAl.

## Properties
E_tot: -5.60 eV per atom
Size of the total moment: 0.0 μB/f.u.

Cell: 3.3555 3.3555 10.6607 Å, 90.00 90.00 120.00°
Fractional coordinates of all 4 atoms:
1 Th 0.0000 0.0000 0.0000
2 Th 0.0000 0.0000 0.5000
3 Al 0.3333 0.6667 0.2500
4 Al 0.6667 0.3333 0.7500


8.
Density functional theory data (PBE) for an optimized crystal structure of Tm4Ni3Pd.

## Properties
E_tot: -5.58 eV per atom
Energy of formation: -58.9 kJ/mol of atoms
Size of the total moment: 0.0 μB/f.u.

Cell: 5.4132 4.2051 6.9312 Å, 90.00 90.14 90.00°
Fractional coordinates of all 8 atoms:
1 Tm 0.0000 0.0000 0.0000
2 Tm 0.2255 0.0000 0.5063
3 Tm 0.4913 0.5000 0.1358
4 Tm 0.7276 0.5000 0.6506
5 Ni 0.0059 0.5000 0.2800
6 Ni 0.2324 0.5000 0.7845
7 Ni 0.4908 0.0000 0.8583
8 Pd 0.7216 0.0000 0.3625